# 1
! VSn2BN (PBE, relaxed); values from VASP
&SYSTEM
  ibrav = 0, nat = 5, ntyp = 4
/
ATOMIC_SPECIES
V 50.94 V.upf
Sn 118.71 Sn.upf
N 14.01 N.upf
B 10.81 B.upf
CELL_PARAMETERS angstrom
-0.1157 1.5731 4.8623
1.9842 -3.3617 1.1349
4.4600 2.4055 -0.6721
ATOMIC_POSITIONS crystal
V 0.0000 0.0000 0.0000
Sn 0.0000 0.0000 0.5000
Sn 0.5000 0.0000 0.0000
N 0.5000 0.5000 0.5000
B 0.0000 0.5000 0.0000
! - space-group type = P4/mmm
! - V (Å³ per atom) = 21.25
! - DOS at the Fermi energy (states/eV per cell) = 3.5
! - formation energy from raw total energies (eV per formula unit) = 7.66



# 2
! NiOsPd (PBE, relaxed); values from VASP
&SYSTEM
  ibrav = 0, nat = 3, ntyp = 3
/
ATOMIC_SPECIES
Os 190.23 Os.upf
Pd 106.42 Pd.upf
Ni 58.69 Ni.upf
CELL_PARAMETERS angstrom
-1.4604 -1.9273 -1.2101
0.3810 -0.0720 2.6761
-5.3625 3.5246 0.8583
ATOMIC_POSITIONS crystal
Os 0.6667 0.3333 0.3492
Pd 0.0000 0.0000 0.9941
Ni 0.3333 0.6667 0.6568
! - space-group type = P3m1
! - V (Å³ per atom) = 13.66
! - energy of formation (eV per formula unit) = 0.5
! - energy above the most stable polymorph in this dataset (kcal/mol of atoms) = 0.00
! - DOS at the Fermi energy (states/eV per cell) = 3.8



# 3
! PmGdSb (PBE, relaxed); values from VASP
&SYSTEM
  ibrav = 0, nat = 3, ntyp = 3
/
ATOMIC_SPECIES
Gd 157.25 Gd.upf
Pm 145.00 Pm.upf
Sb 121.76 Sb.upf
CELL_PARAMETERS angstrom
-4.0480 0.7405 -0.0351
-0.1205 -0.8970 -5.0288
-0.7300 -3.8344 3.2972
ATOMIC_POSITIONS crystal
Gd 0.5800 0.3333 0.6667
Pm 0.0483 0.0000 0.0000
Sb 0.3716 0.6667 0.3333
! - space-group type = P3m1
! - V (Å³ per atom) = 31.02
! - energy above the most stable polymorph in this dataset (kcal/mol of atoms) = 5.17
! - DOS at the Fermi energy (states/eV per cell) = 3.5
! - formation energy from raw total energies (eV per formula unit) = -1.40



Copy entry 2 word for word.
! NiOsPd (PBE, relaxed); values from VASP
&SYSTEM
  ibrav = 0, nat = 3, ntyp = 3
/
ATOMIC_SPECIES
Os 190.23 Os.upf
Pd 106.42 Pd.upf
Ni 58.69 Ni.upf
CELL_PARAMETERS angstrom
-1.4604 -1.9273 -1.2101
0.3810 -0.0720 2.6761
-5.3625 3.5246 0.8583
ATOMIC_POSITIONS crystal
Os 0.6667 0.3333 0.3492
Pd 0.0000 0.0000 0.9941
Ni 0.3333 0.6667 0.6568
! - space-group type = P3m1
! - V (Å³ per atom) = 13.66
! - energy of formation (eV per formula unit) = 0.5
! - energy above the most stable polymorph in this dataset (kcal/mol of atoms) = 0.00
! - DOS at the Fermi energy (states/eV per cell) = 3.8